1.
This record from the Alexandria database describes a PBEsol-optimized structure of Sc2GaNi2. The functional is meta-GGA SCAN.

a = 4.8710 Å, b = 4.8710 Å, c = 7.0107 Å
α = 90.00°, β = 90.00°, γ = 90.00°
Space group I4/mmm (No. 139)
One atom of each set of equivalent atoms:
1 Sc 0.0000 0.5000 0.2500
2 Ga 0.0000 0.0000 0.0000
3 Ni 0.0000 0.0000 0.3438

Output
For the density of states at the Fermi level, the calculation gives 5.89 states/eV/cell. The value obtained for the spin magnetization is 0.00 μB per cell. The formation energy comes out at -0.38 eV/atom.

---

2.
This record from the Alexandria database describes a PBEsol-optimized structure of ScGa5Ni. The functional is meta-GGA SCAN.

a = 4.1153 Å, b = 4.1153 Å, c = 6.5041 Å
α = 90.00°, β = 90.00°, γ = 90.00°
Space group P4/mmm (No. 123)
One atom of each set of equivalent atoms:
1 Sc 0.0000 0.0000 0.0000
2 Ga 0.0000 0.5000 0.2989
3 Ga 0.5000 0.5000 0.0000
4 Ni 0.0000 0.0000 0.5000

Output
For the density of states at the Fermi level, the calculation gives 2.01 states/eV/cell. The value obtained for the spin magnetization is 0.00 μB per cell. The formation energy comes out at -0.52 eV/atom.

---

3.
This record from the Alexandria database describes a PBEsol-optimized structure of ScGaNi2Sn. The functional is meta-GGA SCAN.

a = 4.4585 Å, b = 4.4585 Å, c = 5.0561 Å
α = 90.00°, β = 90.00°, γ = 90.00°
Space group P4/mmm (No. 123)
One atom of each set of equivalent atoms:
1 Sc 0.0000 0.0000 0.0000
2 Ga 0.0000 0.0000 0.5000
3 Ni 0.0000 0.5000 0.0000
4 Sn 0.5000 0.5000 0.5000

Output
For the density of states at the Fermi level, the calculation gives 2.69 states/eV/cell. The value obtained for the spin magnetization is 0.00 μB per cell. The formation energy comes out at 0.91 eV/atom.

---

4.
This record from the Alexandria database describes a PBEsol-optimized structure of Ga3SiNi4. The functional is meta-GGA SCAN.

a = 6.4978 Å, b = 6.4978 Å, c = 7.7685 Å
α = 90.00°, β = 90.00°, γ = 120.00°
Space group R3 (No. 146, hexagonal axes)
One atom of each set of equivalent atoms:
1 Ga 0.1082 0.7087 0.0000
2 Si 0.0000 0.0000 0.7909
3 Ni 0.0000 0.0000 0.0825
4 Ni 0.0306 0.2635 0.5738

Output
For the density of states at the Fermi level, the calculation gives 5.11 states/eV/cell. Its total DFT energy (no corrections) is -15.919 eV per atom. The value obtained for the spin magnetization is 0.00 μB per cell.

---

5.
This record from the Alexandria database describes a PBEsol-optimized structure of SmGa4Ni. The functional is meta-GGA SCAN.

a = 4.0835 Å, b = 15.2981 Å, c = 6.4715 Å
α = 90.00°, β = 90.00°, γ = 90.00°
Space group Cmcm (No. 63)
One atom of each set of equivalent atoms:
1 Sm 0.0000 0.1166 0.2500
2 Ga 0.0000 0.0728 0.7500
3 Ga 0.0000 0.3127 0.0518
4 Ga 0.0000 0.5000 0.0000
5 Ni 0.0000 0.2236 0.7500

Output
For the density of states at the Fermi level, the calculation gives 7.78 states/eV/cell. The value obtained for the spin magnetization is 0.00 μB per cell. The formation energy comes out at -0.63 eV/atom.

---

6.
This record from the Alexandria database describes a PBEsol-optimized structure of SrGa3Ni. The functional is meta-GGA SCAN.

a = 4.6103 Å, b = 4.6103 Å, c = 4.6103 Å
α = 90.00°, β = 90.00°, γ = 90.00°
Space group Pm-3m (No. 221)
One atom of each set of equivalent atoms:
1 Sr 0.0000 0.0000 0.0000
2 Ga 0.0000 0.5000 0.5000
3 Ni 0.5000 0.5000 0.5000

Output
For the density of states at the Fermi level, the calculation gives 1.80 states/eV/cell. The value obtained for the spin magnetization is 0.00 μB per cell. The formation energy comes out at -0.39 eV/atom.

---

7.
This record from the Alexandria database describes a PBEsol-optimized structure of Sr2GaTcNi. The functional is meta-GGA SCAN.

a = 5.5754 Å, b = 5.5754 Å, c = 4.3809 Å
α = 90.00°, β = 90.00°, γ = 90.00°
Space group P4/mmm (No. 123)
One atom of each set of equivalent atoms:
1 Sr 0.0000 0.5000 0.0000
2 Ga 0.0000 0.0000 0.5000
3 Tc 0.5000 0.5000 0.0000
4 Ni 0.5000 0.5000 0.5000

Output
For the density of states at the Fermi level, the calculation gives 3.40 states/eV/cell. The value obtained for the spin magnetization is 0.00 μB per cell. The formation energy comes out at 0.71 eV/atom.

---

8.
This record from the Alexandria database describes a PBEsol-optimized structure of Ta2ZnGaNi. The functional is meta-GGA SCAN.

a = 4.6580 Å, b = 4.6580 Å, c = 4.2053 Å
α = 90.00°, β = 90.00°, γ = 90.00°
Space group P4/mmm (No. 123)
One atom of each set of equivalent atoms:
1 Ta 0.0000 0.5000 0.0000
2 Zn 0.0000 0.0000 0.0000
3 Ga 0.0000 0.0000 0.5000
4 Ni 0.5000 0.5000 0.5000

Output
For the density of states at the Fermi level, the calculation gives 3.36 states/eV/cell. The value obtained for the spin magnetization is 0.00 μB per cell. The formation energy comes out at 1.34 eV/atom.

---

9.
This record from the Alexandria database describes a PBEsol-optimized structure of TbGa2Ni3. The functional is meta-GGA SCAN.

a = 5.1444 Å, b = 5.1444 Å, c = 3.7703 Å
α = 90.00°, β = 90.00°, γ = 120.00°
Space group P6/mmm (No. 191)
One atom of each set of equivalent atoms:
1 Tb 0.0000 0.0000 0.0000
2 Ga 0.3333 0.6667 0.0000
3 Ni 0.0000 0.5000 0.5000

Output
For the density of states at the Fermi level, the calculation gives 2.67 states/eV/cell. The value obtained for the spin magnetization is 0.00 μB per cell. The formation energy comes out at -0.60 eV/atom.

---

10.
This record from the Alexandria database describes a PBEsol-optimized structure of TbGa2Ni. The functional is meta-GGA SCAN.

a = 4.0742 Å, b = 9.9955 Å, c = 6.5657 Å
α = 90.00°, β = 90.00°, γ = 90.00°
Space group Cmcm (No. 63)
One atom of each set of equivalent atoms:
1 Tb 0.0000 0.0711 0.2500
2 Ga 0.0000 0.3550 0.0542
3 Ni 0.0000 0.2108 0.7500

Output
For the density of states at the Fermi level, the calculation gives 7.00 states/eV/cell. The value obtained for the spin magnetization is 0.00 μB per cell. The formation energy comes out at -0.74 eV/atom.

---

11.
This record from the Alexandria database describes a PBEsol-optimized structure of Tb3Ga2Ni6. The functional is meta-GGA SCAN.

a = 8.7586 Å, b = 8.7586 Å, c = 8.7586 Å
α = 90.00°, β = 90.00°, γ = 90.00°
Space group Im-3m (No. 229)
One atom of each set of equivalent atoms:
1 Tb 0.0000 0.0000 0.2893
2 Ga 0.2500 0.2500 0.2500
3 Ni 0.0000 0.3384 0.3384

Output
For the density of states at the Fermi level, the calculation gives 26.08 states/eV/cell. The value obtained for the spin magnetization is 0.00 μB per cell. The formation energy comes out at -0.57 eV/atom.

---

12.
This record from the Alexandria database describes a PBEsol-optimized structure of TiGaNi6. The functional is meta-GGA SCAN.

a = 3.5528 Å, b = 3.5528 Å, c = 7.0231 Å
α = 90.00°, β = 90.00°, γ = 90.00°
Space group P4/mmm (No. 123)
One atom of each set of equivalent atoms:
1 Ti 0.0000 0.0000 0.0000
2 Ga 0.0000 0.0000 0.5000
3 Ni 0.0000 0.5000 0.2514
4 Ni 0.5000 0.5000 0.0000
5 Ni 0.5000 0.5000 0.5000

Output
For the density of states at the Fermi level, the calculation gives 5.14 states/eV/cell. The value obtained for the spin magnetization is 0.71 μB per cell. The formation energy comes out at -0.39 eV/atom.